# MgZrCoF2, optimized geometry, DFT GGA+U
data_MgZrCoF2
_chemical_formula_sum 'Mg1 Zr1 Co1 F2'
_space_group_name_H-M_alt 'P 4/m m m'
_space_group_IT_number 123
_space_group_name_Hall '-P 4 2'
_cell_length_a 4.1431
_cell_length_b 4.1431
_cell_length_c 6.3388
_cell_angle_alpha 90.00
_cell_angle_beta 90.00
_cell_angle_gamma 90.00
loop_
_atom_site_label
_atom_site_type_symbol
_atom_site_fract_x
_atom_site_fract_y
_atom_site_fract_z
Mg1 Mg 0.0000 0.0000 0.0000
Zr1 Zr 0.0000 0.0000 0.5000
Co1 Co 0.5000 0.5000 0.0000
F1 F 0.0000 0.5000 0.5000
# uncorrected energy = -4.90 eV per atom